[1]
An optimized crystal structure of TmSiGe. Source: Alexandria, functional PBE.

Lattice parameters (Å, degrees): 4.2884 4.2884 3.7561 90.00 90.00 120.00
Space group P-6m2 (No. 187)
Asymmetric unit:
Tm: 0.0000 0.0000 0.0000 [1 per cell]
Si: 0.3333 0.6667 0.5000 [1 per cell]
Ge: 0.6667 0.3333 0.5000 [1 per cell]

Total DFT energy (no corrections)   -15.70 eV/cell
Formation energy (no corrections)   -115 kJ/mol of formula units
Distance to the lowest polymorph of the same formula   168.2 meV/atom


[2]
An optimized crystal structure of LiCo2P. Source: Alexandria, functional PBE.

Lattice parameters (Å, degrees): 8.195 2.742 3.906 90.00 107.69 90.00
Space group Cm (No. 8)
Asymmetric unit:
Li: 0.000 0.000 0.000 [2 per cell]
Co: 0.010 0.500 0.520 [2 per cell]
Co: 0.253 0.500 0.158 [2 per cell]
P: 0.238 0.000 0.645 [2 per cell]

Total DFT energy (no corrections)   -44.71 eV/cell
E_form   -0.205 eV per atom


[3]
An optimized crystal structure of ZrSc2Ru. Source: Alexandria, functional PBE.

Lattice parameters (Å, degrees): 6.751 8.603 5.884 90.00 90.00 90.00
Space group Pnma (No. 62)
Asymmetric unit:
Zr: 0.032 0.250 0.120 [4 per cell]
Sc: 0.181 0.060 0.665 [8 per cell]
Ru: 0.116 0.750 0.457 [4 per cell]

Total DFT energy (no corrections)   -126.99 eV/cell
E_form   -0.315 eV per atom
Distance to the lowest polymorph of the same formula   37.5 meV/atom